VASP calculation (GGA+U) on CsTmV2O8 after structural relaxation.

```
12
Lattice="5.869 0.000 0.000 -2.934 5.083 0.000 0.000 0.000 8.414" Properties=species:S:1:pos:R:3 pbc="T T T"
Cs 0.000 0.000 0.000
Tm 0.000 0.000 4.207
V 0.000 3.388 6.121
V 2.934 1.694 2.293
O -1.440 4.190 5.554
O 0.026 1.741 5.554
O 0.000 3.388 7.830
O 1.520 0.848 2.860
O 1.414 4.235 5.554
O 2.934 1.694 0.584
O 2.909 3.342 2.860
O 4.375 0.893 2.860
```

***

VASP calculation (GGA+U) on Cs2TmWO6 after structural relaxation.

```
10
Lattice="6.817 0.000 0.000 -3.408 5.904 0.000 0.000 0.000 5.807" Properties=species:S:1:pos:R:3 pbc="T T T"
Cs 0.000 3.936 2.092
Cs 3.408 1.968 3.715
Tm 0.000 0.000 0.000
W 0.000 0.000 2.904
O 0.000 1.524 4.136
O -2.089 5.142 4.136
O 1.320 0.762 1.671
O 2.089 5.142 4.136
O 5.497 0.762 1.671
O 3.408 4.380 1.671
```

***

VASP calculation (GGA+U) on CsTmW2O8 after structural relaxation.

```
12
Lattice="6.074 0.000 0.000 -3.037 5.260 0.000 0.000 0.000 8.395" Properties=species:S:1:pos:R:3 pbc="T T T"
Cs 0.000 0.000 0.000
Tm 0.000 0.000 4.198
W 0.000 3.507 2.291
W 3.037 1.753 6.104
O 0.000 1.772 2.867
O -1.502 4.374 2.867
O 0.000 3.507 0.514
O 1.535 0.886 5.528
O 1.502 4.374 2.867
O 3.037 1.753 7.881
O 4.539 0.886 5.528
O 3.037 3.488 5.528
```

***

VASP calculation (GGA+U) on CsTmW2O8 after structural relaxation.

```
24
Lattice="5.562 -5.345 0.000 5.562 5.345 0.000 -4.881 0.000 5.731" Properties=species:S:1:pos:R:3 pbc="T T T"
Cs 1.902 3.217 4.298
Cs 4.342 -3.217 1.433
Tm 4.342 2.980 1.433
Tm 1.902 -2.980 4.298
W 2.000 0.042 1.664
W -0.440 -0.042 4.530
W 6.685 0.042 1.201
W 4.244 -0.042 4.066
O -1.849 1.070 4.100
O 1.635 1.555 0.663
O 0.592 -1.070 1.234
O 0.751 0.661 3.242
O -0.806 -1.555 3.529
O 3.192 -0.661 0.377
O 5.216 1.189 0.263
O 3.469 1.189 2.602
O 2.775 -1.189 3.129
O 1.029 -1.189 5.468
O 3.053 0.661 5.354
O 7.050 1.555 2.202
O 5.493 -0.661 2.489
O 5.653 1.070 4.497
O 4.610 -1.555 5.068
O 8.093 -1.070 1.631
```

***

no.,M_tot (Bohr magnetons per cell),raw total energy (eV/cell)
1,2.0,-83.94
2,1.1,-64.18
3,0.0,-88.35
4,0.0,-176.61